SbHBrCl6 after structural relaxation, computed with GGA-PBE.

Cell: 7.072 7.178 8.171 Å, 64.97 78.64 61.04°
Fractional coordinates of all 9 atoms:
Sb: 0.000 0.000 0.000
H: 0.005 0.538 0.929
Br: 0.301 0.326 0.480
Cl: 0.027 0.211 0.150
Cl: 0.331 0.023 0.766
Cl: 0.335 0.593 0.192
Cl: 0.742 0.323 0.777
Cl: 0.747 0.888 0.200
Cl: 0.995 0.726 0.793

Calculated values
electronic total energy = -2.7405 eV/atom
density of states at the Fermi level = 0.27 states/eV per atom